FeCoTe3Pb | GGA-PBE | relaxed

abc: 7.362 7.362 10.479
angles: 90.00 90.00 30.31
Each line ends with the local moment (μB).
Sites, in units of the cell vectors:
Te 0.374 0.374 0.473  -0.03
Te 0.626 0.626 0.973  -0.03
Te 0.374 0.374 0.027  -0.03
Pb 0.782 0.782 0.250  0.02
Te 0.944 0.944 0.750  -0.03
Fe 0.000 0.000 0.000  2.09
Te 0.626 0.626 0.527  -0.03
Fe 0.000 0.000 0.500  2.08
Co 0.442 0.442 0.250  0.38
Co 0.558 0.558 0.750  0.37
Pb 0.218 0.218 0.750  0.02
Te 0.056 0.056 0.250  -0.03

Values from the calculation:
Calculated volume   23.89 Å³ per atom
VASP energy   -57.10 eV/cell
Mass density   8.2 g cm⁻³
Space group   No. 63
Crystal system   orthorhombic
Energy above the most stable polymorph in this dataset   20 meV/atom